# 1
# CuPbAu2

A relaxed structure of CuPbAu2 (GGA-PBE, Alexandria).

Geometry as POSCAR:
```
CuPbAu2
1.0
3.342 0.000 0.000
0.000 4.342 0.000
-1.642 0.000 5.524
Cu Pb Au
1 1 2
Direct
0.000 0.000 0.000
0.604 0.500 0.201
0.292 0.000 0.573
0.867 0.500 0.726
```

Computed properties:
The total energy comes out at -3.4889 eV per atom. For the formation energy, the calculation gives 0.101 eV/atom. The calculated volume is 20.04 Å³ per atom. As for the density of states at the Fermi level: 1.0 states/eV per cell.

***

# 2
# DyMgBiTe

A relaxed structure of DyMgBiTe (GGA-PBE, Alexandria).

Geometry as POSCAR:
```
DyMgBiTe
1.0
2.442 1.410 12.405
-2.442 1.410 12.405
0.000 -2.820 12.405
Dy Mg Bi Te
2 2 2 2
Direct
0.107 0.107 0.107
0.893 0.893 0.893
0.306 0.306 0.306
0.694 0.694 0.694
0.387 0.387 0.387
0.613 0.613 0.613
0.197 0.197 0.197
0.803 0.803 0.803
```

Computed properties:
The total energy comes out at -4.0292 eV per atom. The uncorrected formation energy is -69.89 kJ per mole of atoms. The calculated volume is 32.03 Å³ per atom.

***

# 3
# La3CoHg

A relaxed structure of La3CoHg (GGA-PBE, Alexandria).

Geometry as POSCAR:
```
La3CoHg
1.0
5.663 0.000 0.000
2.831 6.249 0.000
0.006 3.553 8.323
La Co Hg
6 2 2
Direct
0.101 0.299 0.226
0.160 0.178 0.652
0.375 0.751 0.090
0.625 0.249 0.910
0.840 0.822 0.348
0.899 0.701 0.774
0.131 0.237 0.935
0.869 0.763 0.065
0.394 0.713 0.548
0.606 0.287 0.452
```

Computed properties:
The total energy comes out at -4.6945 eV per atom. For the formation energy, the calculation gives -0.257 eV/atom. The calculated volume is 29.45 Å³ per atom. As for the density of states at the Fermi level: 10.0 states/eV per cell.

***

# 4
# PrCd12Hg6

A relaxed structure of PrCd12Hg6 (GGA-PBE, Alexandria).

Geometry as POSCAR:
```
PrCd12Hg6
1.0
6.654 3.842 3.192
-6.654 3.842 3.192
0.000 -7.683 3.192
Pr Cd Hg
1 12 6
Direct
0.000 0.000 0.000
0.109 0.500 0.891
0.109 0.891 0.500
0.135 0.370 0.370
0.370 0.135 0.370
0.370 0.370 0.135
0.500 0.109 0.891
0.500 0.891 0.109
0.630 0.630 0.865
0.630 0.865 0.630
0.865 0.630 0.630
0.891 0.109 0.500
0.891 0.500 0.109
0.277 0.704 0.704
0.296 0.296 0.723
0.296 0.723 0.296
0.704 0.277 0.704
0.704 0.704 0.277
0.723 0.296 0.296
```

Computed properties:
The total energy comes out at -0.8966 eV per atom. For the formation energy, the calculation gives 0.028 eV/atom. The calculated volume is 25.76 Å³ per atom. As for the density of states at the Fermi level: 6.5 states/eV per cell.

***

# 5
# K2In6Hg3

A relaxed structure of K2In6Hg3 (GGA-PBE, Alexandria).

Geometry as POSCAR:
```
K2In6Hg3
1.0
9.074 0.000 0.000
-4.537 7.858 0.000
0.000 0.000 4.715
K In Hg
2 6 3
Direct
0.333 0.667 0.000
0.667 0.333 0.000
0.000 0.277 0.500
0.000 0.803 0.000
0.197 0.197 0.000
0.277 0.000 0.500
0.723 0.723 0.500
0.803 0.000 0.000
0.000 0.599 0.500
0.401 0.401 0.500
0.599 0.000 0.500
```

Computed properties:
The total energy comes out at -1.9203 eV per atom. For the formation energy, the calculation gives -0.145 eV/atom. The calculated volume is 30.56 Å³ per atom. As for the density of states at the Fermi level: 3.9 states/eV per cell.

***

# 6
# SiAsPRh2C

A relaxed structure of SiAsPRh2C (GGA-PBE, Alexandria).

Geometry as POSCAR:
```
SiAsPRh2C
1.0
5.246 -1.477 0.000
5.246 1.477 0.000
-1.896 0.000 5.555
Si As P Rh C
1 1 1 2 1
Direct
0.000 0.000 0.000
0.702 0.702 0.741
0.377 0.377 0.483
0.236 0.236 0.089
0.546 0.546 0.320
0.881 0.881 0.678
```

Computed properties:
The total energy comes out at -6.7650 eV per atom. The uncorrected formation energy is -18.99 kJ per mole of atoms. The calculated volume is 14.35 Å³ per atom. As for the density of states at the Fermi level: 1.0 states/eV per cell.

***

# 7
# LaNd2Tl2In2

A relaxed structure of LaNd2Tl2In2 (GGA-PBE, Alexandria).

Geometry as POSCAR:
```
LaNd2Tl2In2
1.0
2.552 1.473 9.510
-2.552 1.473 9.510
0.000 -2.946 9.510
La Nd Tl In
1 2 2 2
Direct
0.000 0.000 0.000
0.131 0.131 0.131
0.869 0.869 0.869
0.422 0.422 0.422
0.578 0.578 0.578
0.273 0.273 0.273
0.727 0.727 0.727
```

Computed properties:
The total energy comes out at -3.7408 eV per atom. For the formation energy, the calculation gives -0.216 eV/atom. The calculated volume is 30.64 Å³ per atom. As for the density of states at the Fermi level: 5.7 states/eV per cell.

***

# 8
# LiSi6O12

A relaxed structure of LiSi6O12 (GGA-PBE, Alexandria).

Geometry as POSCAR:
```
LiSi6O12
1.0
7.146 -2.665 0.000
7.146 2.665 0.000
-5.726 0.000 7.006
Li Si O
1 6 12
Direct
0.000 0.000 0.000
0.123 0.540 0.580
0.460 0.877 0.420
0.499 0.501 0.500
0.500 0.500 0.000
0.538 0.125 0.083
0.875 0.462 0.917
0.214 0.250 0.976
0.217 0.621 0.819
0.234 0.597 0.518
0.246 0.216 0.487
0.379 0.783 0.181
0.403 0.766 0.482
0.597 0.235 0.313
0.621 0.217 0.019
0.750 0.786 0.024
0.765 0.403 0.687
0.783 0.379 0.981
0.784 0.754 0.513
```

Computed properties:
The total energy comes out at -7.5276 eV per atom. The uncorrected formation energy is -249.21 kJ per mole of atoms. The calculated volume is 14.05 Å³ per atom. As for the density of states at the Fermi level: 1.1 states/eV per cell.

***

# 9
# PrYZnIr

A relaxed structure of PrYZnIr (GGA-PBE, Alexandria).

Geometry as POSCAR:
```
PrYZnIr
1.0
0.000 3.567 3.567
3.567 0.000 3.567
3.567 3.567 0.000
Pr Y Zn Ir
1 1 1 1
Direct
0.000 0.000 0.000
0.500 0.500 0.500
0.250 0.250 0.250
0.750 0.750 0.750
```

Computed properties:
The total energy comes out at -5.8615 eV per atom. For the formation energy, the calculation gives -0.517 eV/atom. The calculated volume is 22.70 Å³ per atom. As for the density of states at the Fermi level: 2.3 states/eV per cell.

***

# 10
# Sr2AlTlS5

A relaxed structure of Sr2AlTlS5 (GGA-PBE, Alexandria).

Geometry as POSCAR:
```
Sr2AlTlS5
1.0
1.957 -9.358 0.000
1.957 9.358 0.000
0.000 0.000 11.962
Sr Al Tl S
4 2 2 10
Direct
0.111 0.889 0.500
0.114 0.886 0.122
0.886 0.114 0.622
0.889 0.111 0.000
0.439 0.561 0.268
0.561 0.439 0.768
0.226 0.774 0.848
0.774 0.226 0.348
0.042 0.958 0.868
0.282 0.718 0.502
0.323 0.677 0.203
0.361 0.639 0.815
0.495 0.505 0.103
0.505 0.495 0.603
0.639 0.361 0.315
0.677 0.323 0.703
0.718 0.282 0.002
0.958 0.042 0.368
```

Computed properties:
The total energy comes out at -4.6259 eV per atom. The uncorrected formation energy is -123.54 kJ per mole of atoms. The calculated volume is 24.34 Å³ per atom.

***

# 11
# Nb2SnTe

A relaxed structure of Nb2SnTe (GGA-PBE, Alexandria).

Geometry as POSCAR:
```
Nb2SnTe
1.0
0.000 3.427 3.427
3.427 0.000 3.427
3.427 3.427 0.000
Nb Sn Te
2 1 1
Direct
0.250 0.250 0.250
0.750 0.750 0.750
0.000 0.000 0.000
0.500 0.500 0.500
```

Computed properties:
The total energy comes out at -6.8053 eV per atom. The uncorrected formation energy is 1.51 kJ per mole of atoms. The calculated volume is 20.12 Å³ per atom. As for the density of states at the Fermi level: 3.7 states/eV per cell.

***

# 12
# RbPu2CrCl8

A relaxed structure of RbPu2CrCl8 (GGA-PBE, Alexandria).

Geometry as POSCAR:
```
RbPu2CrCl8
1.0
6.588 0.000 0.000
0.000 8.638 0.000
-0.738 0.000 6.726
Rb Pu Cr Cl
1 2 1 8
Direct
0.000 0.000 0.000
0.500 0.262 0.500
0.500 0.738 0.500
0.000 0.500 0.000
0.220 0.302 0.169
0.220 0.698 0.169
0.286 0.500 0.660
0.301 0.000 0.640
0.699 0.000 0.360
0.714 0.500 0.340
0.780 0.302 0.831
0.780 0.698 0.831
```

Computed properties:
The total energy comes out at -6.1636 eV per atom. The uncorrected formation energy is -160.29 kJ per mole of atoms. The calculated volume is 31.90 Å³ per atom. As for the density of states at the Fermi level: 25.6 states/eV per cell.